# 1
Density functional theory data (PBE) for Mn3NbTe after structural relaxation.

The value obtained for the total energy is -34.52 eV per cell. The value obtained for the relative energy among the computed polymorphs is 6.9 kJ/mol of atoms.

a b c (Å): 4.778 4.778 4.778
angles (deg): 90.00 90.00 90.00
Space group Pm-3m (No. 221)
Inequivalent atoms, fractional coordinates:
Mn  0.000  0.000  0.500 (multiplicity 3)
Nb  0.500  0.500  0.500 (multiplicity 1)
Te  0.000  0.000  0.000 (multiplicity 1)

# 2
Density functional theory data (PBE) for LaVN3 after structural relaxation.

The value obtained for the total energy is -348.87 eV per cell.

a b c (Å): 9.395 11.558 5.287
angles (deg): 90.00 90.61 90.00
Space group C2/c (No. 15)
Inequivalent atoms, fractional coordinates:
La  0.232  0.111  0.221 (multiplicity 8)
V  0.000  0.173  0.750 (multiplicity 4)
V  0.000  0.366  0.250 (multiplicity 4)
N  0.068  0.488  0.496 (multiplicity 8)
N  0.071  0.265  0.014 (multiplicity 8)
N  0.150  0.089  0.664 (multiplicity 8)

# 3
Density functional theory data (PBE) for SrLa2Pb after structural relaxation.

The value obtained for the total energy is -47.29 eV per cell. Its energy of formation from the pure elements is -0.13 eV/atom.

a b c (Å): 3.8859 3.8859 34.8470
angles (deg): 90.00 90.00 120.00
Space group R3m (No. 160, hexagonal axes)
Inequivalent atoms, fractional coordinates:
Sr  0.0000  0.0000  0.0000 (multiplicity 3)
La  0.0000  0.0000  0.2348 (multiplicity 3)
La  0.0000  0.0000  0.4851 (multiplicity 3)
Pb  0.0000  0.0000  0.7429 (multiplicity 3)

# 4
Density functional theory data (PBE) for AlRe2Tc after structural relaxation.

The value obtained for the total energy is -38.50 eV per cell. Its energy of formation from the pure elements is 0.13 eV/atom.

a b c (Å): 3.772 3.772 4.150
angles (deg): 90.00 90.00 90.00
Space group P4/mmm (No. 123)
Inequivalent atoms, fractional coordinates:
Al  0.000  0.000  0.000 (multiplicity 1)
Re  0.000  0.500  0.500 (multiplicity 2)
Tc  0.500  0.500  0.000 (multiplicity 1)

# 5
Density functional theory data (PBE) for AcBiRu after structural relaxation.

The value obtained for the total energy is -73.68 eV per cell. Its energy of formation from the pure elements is -0.39 eV/atom.

a b c (Å): 12.549 4.796 5.717
angles (deg): 90.00 103.21 90.00
Space group C2/m (No. 12)
Inequivalent atoms, fractional coordinates:
Ac  0.134  0.000  0.306 (multiplicity 4)
Bi  0.096  0.500  0.792 (multiplicity 4)
Ru  0.205  0.000  0.849 (multiplicity 4)

# 6
Density functional theory data (PBE) for BePIrCl2 after structural relaxation.

The value obtained for the total energy is -18.22 eV per cell. The value obtained for the relative energy among the computed polymorphs is 15.0 kJ/mol of atoms.

a b c (Å): 4.986 4.986 4.468
angles (deg): 90.00 90.00 90.00
Space group P4/mmm (No. 123)
Inequivalent atoms, fractional coordinates:
Be  0.000  0.000  0.000 (multiplicity 1)
P  0.500  0.500  0.000 (multiplicity 1)
Ir  0.500  0.500  0.500 (multiplicity 1)
Cl  0.000  0.500  0.500 (multiplicity 2)

# 7
Density functional theory data (PBE) for AlGe3Se after structural relaxation.

The value obtained for the total energy is -18.38 eV per cell. The value obtained for the relative energy among the computed polymorphs is 0.0 kJ/mol of atoms.

a b c (Å): 4.903 4.903 4.903
angles (deg): 90.00 90.00 90.00
Space group Pm-3m (No. 221)
Inequivalent atoms, fractional coordinates:
Al  0.000  0.000  0.000 (multiplicity 1)
Ge  0.000  0.000  0.500 (multiplicity 3)
Se  0.500  0.500  0.500 (multiplicity 1)

# 8
Density functional theory data (PBE) for Sr2As4Ir3Pt after structural relaxation.

The value obtained for the total energy is -60.65 eV per cell. Its energy of formation from the pure elements is -0.61 eV/atom.

a b c (Å): 4.447 4.447 9.896
angles (deg): 90.00 90.00 90.00
Space group P-4m2 (No. 115)
Inequivalent atoms, fractional coordinates:
Sr  0.000  0.500  0.244 (multiplicity 2)
As  0.000  0.000  0.000 (multiplicity 1)
As  0.000  0.500  0.634 (multiplicity 2)
As  0.500  0.500  0.000 (multiplicity 1)
Ir  0.000  0.500  0.884 (multiplicity 2)
Ir  0.500  0.500  0.500 (multiplicity 1)
Pt  0.000  0.000  0.500 (multiplicity 1)